[1]
Compound: TiNbGaOs
Source: the Alexandria database
Functional: PBE-GGA
Structure: optimized geometry

Output
Energy of formation   -0.2660 eV per atom

Cell lengths 4.4694, 4.4694, 4.4694 Å; angles 60.00, 60.00, 60.00 degrees
Fractional positions:
Nb  0.5000  0.5000  0.5000
Os  0.2500  0.2500  0.2500
Ga  0.0000  0.0000  0.0000
Ti  0.7500  0.7500  0.7500


[2]
Compound: TmNbGaOs
Source: the Alexandria database
Functional: PBE-GGA
Structure: optimized geometry

Output
Energy of formation   -0.1610 eV per atom

Cell lengths 4.6843, 4.6843, 4.6843 Å; angles 60.00, 60.00, 60.00 degrees
Fractional positions:
Nb  0.2500  0.2500  0.2500
Tm  0.7500  0.7500  0.7500
Os  0.5000  0.5000  0.5000
Ga  0.0000  0.0000  0.0000


[3]
Compound: Nb5GaP
Source: the Alexandria database
Functional: PBE-GGA
Structure: optimized geometry

Output
Energy of formation   -0.0599 eV per atom

Cell lengths 6.4707, 6.4707, 6.5398 Å; angles 100.91, 100.91, 103.31 degrees
Fractional positions:
Nb  0.8784  0.6561  0.0883
Nb  0.1838  0.5483  0.3586
Nb  0.6561  0.8784  0.5883
Nb  0.8208  0.1792  0.2500
Nb  0.4517  0.8162  0.1414
Nb  0.5483  0.1838  0.8586
Nb  0.1792  0.8208  0.7500
Nb  0.3439  0.1216  0.4117
Nb  0.8162  0.4517  0.6414
Nb  0.1216  0.3439  0.9117
Ga  0.5433  0.4567  0.2500
Ga  0.4567  0.5433  0.7500
P  0.0000  0.0000  0.0000
P  0.0000  0.0000  0.5000


> Which of these has the highest energy of formation?

Nb5GaP


Copy entry 3 word for word.
Compound: Nb5GaP
Source: the Alexandria database
Functional: PBE-GGA
Structure: optimized geometry

Output
Energy of formation   -0.0599 eV per atom

Cell lengths 6.4707, 6.4707, 6.5398 Å; angles 100.91, 100.91, 103.31 degrees
Fractional positions:
Nb  0.8784  0.6561  0.0883
Nb  0.1838  0.5483  0.3586
Nb  0.6561  0.8784  0.5883
Nb  0.8208  0.1792  0.2500
Nb  0.4517  0.8162  0.1414
Nb  0.5483  0.1838  0.8586
Nb  0.1792  0.8208  0.7500
Nb  0.3439  0.1216  0.4117
Nb  0.8162  0.4517  0.6414
Nb  0.1216  0.3439  0.9117
Ga  0.5433  0.4567  0.2500
Ga  0.4567  0.5433  0.7500
P  0.0000  0.0000  0.0000
P  0.0000  0.0000  0.5000


> The highest energy of formation belongs to which entry?

Nb5GaP


> What is the energy of formation in the first record?

-0.2660 eV per atom